Density functional theory data (PBE with a Hubbard U) for an optimized crystal structure of BaFeO3.

```
BaFeO3
1.0
5.7648 0.0000 0.0000
-2.8824 4.9927 0.0000
0.0000 0.0000 9.5235
Ba O Fe
4 12 4
Direct
0.3334 0.6667 0.2500 Ba
0.6666 0.3333 0.7500 Ba
0.0000 0.0000 0.5000 Ba
0.0000 0.0000 0.0000 Ba
0.3663 0.1832 0.2500 O
0.1832 0.8168 0.7500 O
0.1832 0.3664 0.7500 O
0.8168 0.6336 0.2500 O
0.8168 0.1832 0.2500 O
0.6337 0.8168 0.7500 O
0.5000 0.0000 0.5000 O
0.0000 0.5000 0.0000 O
0.5000 0.0000 0.0000 O
0.0000 0.5000 0.5000 O
0.5000 0.5000 0.5000 O
0.5000 0.5000 0.0000 O
0.3333 0.6667 0.6111 Fe
0.6667 0.3333 0.1111 Fe
0.6667 0.3333 0.3889 Fe
0.3333 0.6667 0.8889 Fe
```

Computed properties:
Final energy = -6.336 eV/atom